No. 1
# PBE Ac2LaTb4, relaxed
# Calculated formation energy, eV per atom: 0.297
# Volume, Å³ per cell: 526
data_Ac2LaTb4
_chemical_formula_sum 'Ac4 La2 Tb8'
_symmetry_space_group_name_H-M 'P 1'
_symmetry_Int_Tables_number 1
_symmetry_space_group_name_Hall 'P 1'
_cell_length_a 8.810
_cell_length_b 8.809
_cell_length_c 8.808
_cell_angle_alpha 109.55
_cell_angle_beta 109.30
_cell_angle_gamma 109.56
loop_
_atom_site_label
_atom_site_type_symbol
_atom_site_fract_x
_atom_site_fract_y
_atom_site_fract_z
La1 La 0.000 0.000 0.000
Tb1 Tb 0.798 0.253 0.887
Ac1 Ac 0.257 0.632 0.125
Tb2 Tb 0.295 0.247 0.884
Ac2 Ac 0.375 0.868 0.743
Tb3 Tb 0.637 0.754 0.048
Tb4 Tb 0.456 0.090 0.202
Ac3 Ac 0.875 0.132 0.507
Tb5 Tb 0.634 0.746 0.544
Tb6 Tb 0.113 0.911 0.366
Tb7 Tb 0.116 0.410 0.363
Ac4 Ac 0.493 0.368 0.625
Tb8 Tb 0.952 0.589 0.705
La2 La 0.750 0.500 0.250


No. 2
# PBE ZrTl2As, relaxed
# Calculated formation energy, eV per atom: 0.097
# Volume, Å³ per cell: 94
data_ZrTl2As
_chemical_formula_sum 'Zr1 Tl2 As1'
_symmetry_space_group_name_H-M 'P 1'
_symmetry_Int_Tables_number 1
_symmetry_space_group_name_Hall 'P 1'
_cell_length_a 5.669
_cell_length_b 5.669
_cell_length_c 3.198
_cell_angle_alpha 90.00
_cell_angle_beta 90.00
_cell_angle_gamma 113.96
loop_
_atom_site_label
_atom_site_type_symbol
_atom_site_fract_x
_atom_site_fract_y
_atom_site_fract_z
Tl1 Tl 0.500 0.500 0.000
Zr1 Zr 0.500 0.000 0.500
Tl2 Tl 0.000 0.000 0.000
As1 As 0.000 0.500 0.500


No. 3
# PBE YSb2Au, relaxed
# Formation energy (no corrections), eV per atom: -0.51
# Volume, Å³ per cell: 101
data_YSb2Au
_chemical_formula_sum 'Y1 Sb2 Au1'
_symmetry_space_group_name_H-M 'P 1'
_symmetry_Int_Tables_number 1
_symmetry_space_group_name_Hall 'P 1'
_cell_length_a 4.073
_cell_length_b 4.073
_cell_length_c 6.104
_cell_angle_alpha 90.00
_cell_angle_beta 90.00
_cell_angle_gamma 90.00
loop_
_atom_site_label
_atom_site_type_symbol
_atom_site_fract_x
_atom_site_fract_y
_atom_site_fract_z
Sb1 Sb 0.500 0.500 0.292
Au1 Au 0.500 0.500 0.783
Sb2 Sb 0.000 0.000 0.957
Y1 Y 0.000 0.000 0.468


No. 4
# PBE Pa2S2N, relaxed
# Formation energy (no corrections), eV per atom: -1.66
# Volume, Å³ per cell: 195
data_Pa2S2N
_chemical_formula_sum 'Pa4 S4 N2'
_symmetry_space_group_name_H-M 'P 1'
_symmetry_Int_Tables_number 1
_symmetry_space_group_name_Hall 'P 1'
_cell_length_a 3.794
_cell_length_b 6.972
_cell_length_c 7.594
_cell_angle_alpha 90.00
_cell_angle_beta 104.47
_cell_angle_gamma 90.00
loop_
_atom_site_label
_atom_site_type_symbol
_atom_site_fract_x
_atom_site_fract_y
_atom_site_fract_z
Pa1 Pa 0.169 0.514 0.338
N1 N 0.595 0.580 0.191
S1 S 0.952 0.719 0.905
S2 S 0.201 0.906 0.401
Pa2 Pa 0.553 0.916 0.106
Pa3 Pa 0.831 0.014 0.662
N2 N 0.405 0.080 0.809
Pa4 Pa 0.447 0.416 0.894
S3 S 0.799 0.406 0.599
S4 S 0.048 0.219 0.095


No. 5
# PBE Tl2ZnRh, relaxed
# Calculated formation energy, eV per atom: 0.054
# Volume, Å³ per cell: 88
data_Tl2ZnRh
_chemical_formula_sum 'Tl2 Zn1 Rh1'
_symmetry_space_group_name_H-M 'P 1'
_symmetry_Int_Tables_number 1
_symmetry_space_group_name_Hall 'P 1'
_cell_length_a 6.693
_cell_length_b 6.693
_cell_length_c 4.651
_cell_angle_alpha 69.92
_cell_angle_beta 69.92
_cell_angle_gamma 26.72
loop_
_atom_site_label
_atom_site_type_symbol
_atom_site_fract_x
_atom_site_fract_y
_atom_site_fract_z
Rh1 Rh 0.237 0.237 0.263
Tl1 Tl 0.745 0.745 0.755
Zn1 Zn 0.566 0.566 0.434
Tl2 Tl 0.952 0.952 0.048


No. 6
# PBE TbHg4, relaxed
# Calculated formation energy, eV per atom: -0.221
# Volume, Å³ per cell: 270
data_TbHg4
_chemical_formula_sum 'Tb2 Hg8'
_symmetry_space_group_name_H-M 'P 1'
_symmetry_Int_Tables_number 1
_symmetry_space_group_name_Hall 'P 1'
_cell_length_a 5.492
_cell_length_b 5.284
_cell_length_c 9.318
_cell_angle_alpha 90.14
_cell_angle_beta 90.00
_cell_angle_gamma 90.00
loop_
_atom_site_label
_atom_site_type_symbol
_atom_site_fract_x
_atom_site_fract_y
_atom_site_fract_z
Hg1 Hg 0.165 0.500 0.154
Hg2 Hg 0.004 0.000 0.339
Tb1 Tb 0.000 0.000 0.000
Hg3 Hg 0.504 0.000 0.161
Hg4 Hg 0.496 0.000 0.839
Hg5 Hg 0.665 0.500 0.346
Hg6 Hg 0.335 0.500 0.654
Hg7 Hg 0.996 0.000 0.661
Hg8 Hg 0.835 0.500 0.846
Tb2 Tb 0.500 0.000 0.500


No. 7
# PBE TaMnCo, relaxed
# Calculated formation energy, eV per atom: 0.027
# Volume, Å³ per cell: 41
data_TaMnCo
_chemical_formula_sum 'Ta1 Mn1 Co1'
_symmetry_space_group_name_H-M 'P 1'
_symmetry_Int_Tables_number 1
_symmetry_space_group_name_Hall 'P 1'
_cell_length_a 4.194
_cell_length_b 4.194
_cell_length_c 2.717
_cell_angle_alpha 90.00
_cell_angle_beta 90.00
_cell_angle_gamma 120.00
loop_
_atom_site_label
_atom_site_type_symbol
_atom_site_fract_x
_atom_site_fract_y
_atom_site_fract_z
Mn1 Mn 0.667 0.333 0.315
Ta1 Ta 0.333 0.667 0.676
Co1 Co 0.000 0.000 0.009


No. 8
# PBE K7TaTe6, relaxed
# Formation energy (no corrections), eV per atom: -0.85
# Volume, Å³ per cell: 1359
data_K7TaTe6
_chemical_formula_sum 'K14 Ta2 Te12'
_symmetry_space_group_name_H-M 'P 1'
_symmetry_Int_Tables_number 1
_symmetry_space_group_name_Hall 'P 1'
_cell_length_a 9.057
_cell_length_b 13.146
_cell_length_c 13.146
_cell_angle_alpha 74.40
_cell_angle_beta 69.85
_cell_angle_gamma 69.85
loop_
_atom_site_label
_atom_site_type_symbol
_atom_site_fract_x
_atom_site_fract_y
_atom_site_fract_z
K1 K 0.020 0.331 0.897
Te1 Te 0.651 0.271 0.078
Ta1 Ta 0.250 0.750 0.750
Te2 Te 0.849 0.422 0.229
K2 K 0.480 0.603 0.169
Te3 Te 0.151 0.578 0.771
Te4 Te 0.000 0.078 0.271
K3 K 0.750 0.750 0.750
K4 K 0.520 0.397 0.831
K5 K 0.250 0.250 0.250
Te5 Te 0.500 0.771 0.578
Te6 Te 0.089 0.665 0.335
K6 K 0.252 0.831 0.397
Te7 Te 0.349 0.729 0.922
Te8 Te 0.500 0.229 0.422
K7 K 0.748 0.169 0.603
Te9 Te 0.000 0.922 0.729
Ta2 Ta 0.750 0.250 0.250
K8 K 0.715 0.039 0.961
Te10 Te 0.589 0.835 0.165
Te11 Te 0.411 0.165 0.835
K9 K 0.215 0.461 0.539
Te12 Te 0.911 0.335 0.665
K10 K 0.980 0.669 0.103
K11 K 0.752 0.897 0.331
K12 K 0.248 0.103 0.669
K13 K 0.285 0.961 0.039
K14 K 0.785 0.539 0.461